1.
VASP calculation (PBE) on crystalline B2H2I7 at its relaxed geometry. Values from VASP.

Summary:
- V: 49.784 A^3/atom
- Total energy: -2.62 eV per atom
- Space-group type: P-1 (2)
- Crystal system: triclinic

Geometry as Quantum ESPRESSO input:
```
&SYSTEM
  ibrav = 0, nat = 11, ntyp = 3
/
ATOMIC_SPECIES
B 10.81 B.upf
I 126.90 I.upf
H 1.01 H.upf
CELL_PARAMETERS angstrom
6.584 1.613 -1.764
0.493 9.032 0.452
0.012 0.837 9.385
ATOMIC_POSITIONS crystal
B 0.255 0.310 0.212
B 0.745 0.690 0.788
I 0.000 0.500 0.000
I 0.172 0.279 0.413
I 0.134 0.842 0.263
I 0.462 0.814 0.820
I 0.866 0.158 0.737
I 0.538 0.186 0.180
I 0.828 0.721 0.587
H 0.935 0.276 0.841
H 0.065 0.724 0.159
```

***

2.
VASP calculation (PBE) on crystalline BH3I at its relaxed geometry. Values from VASP.

Summary:
- V: 13.136 A^3/atom
- Total energy: -1.91 eV per atom
- Space-group type: Pm-3m (221)
- Energy relative to the lowest polymorph listed for this composition: 7.839 eV/f.u.
- Crystal system: cubic
- Fermi-level density of states: 2.04 states/eV/f.u.

Geometry as Quantum ESPRESSO input:
```
&SYSTEM
  ibrav = 0, nat = 5, ntyp = 3
/
ATOMIC_SPECIES
B 10.81 B.upf
H 1.01 H.upf
I 126.90 I.upf
CELL_PARAMETERS angstrom
-0.556 -3.520 -1.892
3.250 0.714 -2.282
2.325 -1.839 2.737
ATOMIC_POSITIONS crystal
B 0.500 0.500 0.500
H 0.000 0.500 0.000
H 0.000 0.000 0.500
H 0.500 0.000 0.000
I 0.000 0.000 0.000
```

***

3.
VASP calculation (PBE) on crystalline BHI at its relaxed geometry. Values from VASP.

Summary:
- V: 22.109 A^3/atom
- Total energy: -3.63 eV per atom
- Space-group type: P2_1/m (11)
- Energy relative to the lowest polymorph listed for this composition: 0.000 eV/f.u.
- Crystal system: monoclinic
- Fermi-level density of states: 0.21 states/eV/f.u.

Geometry as Quantum ESPRESSO input:
```
&SYSTEM
  ibrav = 0, nat = 6, ntyp = 3
/
ATOMIC_SPECIES
B 10.81 B.upf
I 126.90 I.upf
H 1.01 H.upf
CELL_PARAMETERS angstrom
2.927 0.001 0.001
-0.003 6.668 1.649
-0.007 4.473 7.902
ATOMIC_POSITIONS crystal
B 0.950 0.537 0.886
I 0.950 0.053 0.177
B 0.450 0.639 0.939
I 0.450 0.122 0.647
H 0.949 0.549 0.747
H 0.450 0.627 0.077
```

***

4.
VASP calculation (PBE) on crystalline B10H13I at its relaxed geometry. Values from VASP.

Summary:
- V: 11.356 A^3/atom
- Total energy: -4.78 eV per atom
- Space-group type: P2_1/c (14)
- Energy relative to the lowest polymorph listed for this composition: 0.000 eV/f.u.
- Crystal system: monoclinic
- Fermi-level density of states: 0.00 states/eV/f.u.

Geometry as Quantum ESPRESSO input:
```
&SYSTEM
  ibrav = 0, nat = 192, ntyp = 3
/
ATOMIC_SPECIES
B 10.81 B.upf
H 1.01 H.upf
I 126.90 I.upf
CELL_PARAMETERS angstrom
12.201 0.000 0.000
0.000 14.320 -0.064
0.000 6.965 12.448
ATOMIC_POSITIONS crystal
B 0.825 0.755 0.105
H 0.441 0.095 0.335
H 0.126 0.973 0.662
H 0.059 0.595 0.835
H 0.317 0.851 0.332
B 0.758 0.889 0.620
B 0.808 0.610 0.747
H 0.817 0.649 0.168
H 0.649 0.306 0.869
H 0.313 0.874 0.580
B 0.400 0.280 0.319
H 0.810 0.117 0.093
H 0.673 0.061 0.975
H 0.374 0.473 0.162
B 0.125 0.242 0.677
H 0.710 0.195 0.836
H 0.167 0.162 0.303
B 0.856 0.222 0.298
H 0.231 0.138 0.187
B 0.675 0.255 0.605
H 0.232 0.226 0.824
H 0.667 0.338 0.197
B 0.205 0.840 0.855
B 0.144 0.778 0.702
H 0.190 0.883 0.907
B 0.518 0.297 0.730
B 0.991 0.673 0.349
H 0.327 0.939 0.025
B 0.747 0.819 0.762
H 0.351 0.694 0.131
H 0.682 0.423 0.630
B 0.322 0.185 0.425
H 0.852 0.356 0.984
B 0.075 0.347 0.844
B 0.900 0.220 0.181
B 0.554 0.076 0.812
B 0.242 0.111 0.380
I 0.043 0.801 0.565
H 0.173 0.439 0.525
B 0.959 0.789 0.111
B 0.705 0.660 0.645
B 0.009 0.327 0.651
B 0.425 0.847 0.344
H 0.648 0.856 0.484
I 0.084 0.930 0.217
H 0.991 0.155 0.968
H 0.661 0.071 0.828
B 0.459 0.711 0.389
B 0.673 0.609 0.784
B 0.644 0.722 0.798
B 0.509 0.173 0.849
H 0.833 0.838 0.697
H 0.785 0.835 0.569
H 0.182 0.077 0.870
H 0.768 0.774 0.176
H 0.560 0.842 0.086
B 0.100 0.780 0.819
B 0.308 0.890 0.753
H 0.183 0.351 0.832
H 0.209 0.022 0.433
B 0.600 0.720 0.681
H 0.709 0.478 0.067
H 0.440 0.158 0.914
H 0.234 0.221 0.970
B 0.137 0.383 0.612
B 0.875 0.758 0.323
B 0.041 0.211 0.889
H 0.475 0.015 0.149
B 0.253 0.181 0.238
H 0.318 0.577 0.370
H 0.290 0.805 0.164
B 0.027 0.684 0.223
B 0.541 0.289 0.611
H 0.687 0.126 0.420
H 0.861 0.679 0.768
H 0.339 0.929 0.172
B 0.795 0.160 0.145
B 0.018 0.203 0.770
B 0.869 0.344 0.177
H 0.444 0.896 0.391
I 0.916 0.070 0.783
H 0.813 0.676 0.640
H 0.268 0.726 0.324
H 0.766 0.779 0.030
B 0.276 0.835 0.669
H 0.791 0.978 0.567
H 0.161 0.429 0.672
H 0.491 0.345 0.532
H 0.818 0.923 0.130
B 0.527 0.816 0.277
B 0.131 0.656 0.823
B 0.853 0.834 0.167
H 0.313 0.824 0.860
B 0.054 0.424 0.688
H 0.869 0.538 0.766
H 0.149 0.194 0.631
H 0.056 0.396 0.891
H 0.025 0.515 0.649
H 0.187 0.324 0.360
B 0.625 0.258 0.823
B 0.982 0.797 0.230
B 0.224 0.335 0.169
B 0.356 0.278 0.202
B 0.353 0.666 0.333
H 0.631 0.038 0.266
I 0.957 0.199 0.435
H 0.559 0.905 0.665
H 0.509 0.655 0.468
H 0.333 0.662 0.803
B 0.692 0.110 0.247
H 0.975 0.485 0.351
B 0.822 0.315 0.075
H 0.827 0.561 0.475
H 0.619 0.839 0.289
H 0.813 0.626 0.920
B 0.575 0.153 0.656
H 0.715 0.335 0.069
H 0.941 0.405 0.165
B 0.325 0.745 0.395
H 0.990 0.205 0.159
B 0.678 0.815 0.575
H 0.510 0.705 0.659
B 0.175 0.245 0.895
I 0.584 0.570 0.283
H 0.148 0.644 0.016
H 0.734 0.279 0.530
H 0.556 0.104 0.609
B 0.482 0.703 0.270
B 0.647 0.334 0.667
H 0.352 0.144 0.516
B 0.925 0.653 0.156
H 0.851 0.806 0.369
H 0.940 0.342 0.586
B 0.827 0.109 0.284
B 0.147 0.166 0.833
I 0.416 0.430 0.717
I 0.457 0.301 0.065
B 0.446 0.924 0.188
B 0.724 0.165 0.331
B 0.742 0.389 0.120
B 0.776 0.665 0.831
H 0.639 0.179 0.268
H 0.839 0.571 0.328
B 0.631 0.844 0.677
H 0.266 0.721 0.470
B 0.327 0.391 0.216
B 0.363 0.883 0.112
H 0.269 0.638 0.687
B 0.192 0.390 0.253
B 0.173 0.891 0.716
H 0.060 0.658 0.414
H 0.310 0.383 0.407
H 0.285 0.665 0.931
H 0.944 0.604 0.109
B 0.247 0.681 0.738
B 0.258 0.611 0.880
B 0.375 0.742 0.177
H 0.009 0.845 0.032
H 0.687 0.176 0.140
H 0.119 0.661 0.211
H 0.790 0.695 0.336
H 0.187 0.374 0.080
H 0.215 0.165 0.431
B 0.178 0.685 0.925
H 0.369 0.962 0.734
H 0.139 0.321 0.232
I 0.543 0.699 0.935
B 0.946 0.576 0.312
H 0.131 0.462 0.234
H 0.874 0.027 0.338
B 0.637 0.117 0.888
H 0.881 0.339 0.789
H 0.210 0.305 0.664
B 0.473 0.184 0.723
H 0.732 0.274 0.676
B 0.863 0.617 0.388
H 0.490 0.295 0.341
B 0.369 0.156 0.323
H 0.690 0.617 0.593
H 0.361 0.821 0.732
B 0.491 0.827 0.151
H 0.769 0.862 0.813
H 0.525 0.985 0.851
H 0.291 0.522 0.933
B 0.295 0.340 0.355
H 0.731 0.362 0.313
B 0.973 0.316 0.777
H 0.010 0.795 0.841
B 0.753 0.319 0.262
H 0.381 0.161 0.711
H 0.626 0.527 0.838
H 0.683 0.149 0.668
```

***

5.
VASP calculation (PBE) on crystalline B10H13I at its relaxed geometry. Values from VASP.

Summary:
- V: 11.177 A^3/atom
- Total energy: -4.77 eV per atom
- Space-group type: P2_1/c (14)
- Energy relative to the lowest polymorph listed for this composition: 0.120 eV/f.u.
- Crystal system: monoclinic
- Fermi-level density of states: 0.00 states/eV/f.u.

Geometry as Quantum ESPRESSO input:
```
&SYSTEM
  ibrav = 0, nat = 96, ntyp = 3
/
ATOMIC_SPECIES
B 10.81 B.upf
H 1.01 H.upf
I 126.90 I.upf
CELL_PARAMETERS angstrom
7.347 0.000 0.053
0.000 14.967 0.000
-4.985 0.000 9.722
ATOMIC_POSITIONS crystal
B 0.149 0.813 0.749
H 0.691 0.983 0.519
B 0.371 0.166 0.374
B 0.989 0.869 0.598
B 0.232 0.421 0.908
H 0.294 0.167 0.238
B 0.029 0.712 0.761
B 0.752 0.688 0.025
B 0.971 0.288 0.239
B 0.772 0.778 0.132
B 0.228 0.222 0.868
H 0.888 0.146 0.680
H 0.075 0.594 0.041
B 0.772 0.722 0.632
H 0.362 0.200 0.594
H 0.852 0.717 0.768
H 0.148 0.217 0.732
H 0.670 0.183 0.201
H 0.638 0.700 0.906
H 0.111 0.990 0.790
B 0.983 0.751 0.601
B 0.008 0.574 0.243
H 0.309 0.017 0.481
B 0.983 0.749 0.101
H 0.670 0.317 0.701
H 0.889 0.490 0.710
H 0.331 0.156 0.907
H 0.925 0.406 0.959
I 0.350 0.508 0.653
B 0.752 0.812 0.525
H 0.551 0.170 0.414
B 0.992 0.074 0.257
H 0.925 0.094 0.459
B 0.771 0.584 0.251
B 0.229 0.084 0.249
H 0.449 0.830 0.586
H 0.111 0.780 0.848
B 0.771 0.916 0.751
B 0.989 0.631 0.098
H 0.889 0.010 0.210
H 0.691 0.517 0.019
H 0.669 0.844 0.093
H 0.039 0.708 0.532
B 0.011 0.369 0.902
H 0.330 0.683 0.299
I 0.650 0.008 0.847
B 0.992 0.426 0.757
H 0.309 0.483 0.981
I 0.350 0.992 0.153
H 0.362 0.300 0.094
I 0.650 0.492 0.347
H 0.852 0.783 0.268
B 0.017 0.249 0.399
B 0.017 0.251 0.899
B 0.629 0.834 0.626
H 0.638 0.800 0.406
B 0.768 0.579 0.092
B 0.011 0.131 0.402
B 0.248 0.188 0.475
H 0.035 0.397 0.658
B 0.029 0.788 0.261
H 0.449 0.670 0.086
B 0.629 0.666 0.126
H 0.035 0.103 0.158
H 0.888 0.354 0.180
H 0.111 0.510 0.290
B 0.229 0.416 0.749
H 0.330 0.817 0.799
H 0.965 0.897 0.842
H 0.961 0.292 0.468
B 0.248 0.312 0.975
B 0.228 0.278 0.368
H 0.112 0.854 0.320
B 0.971 0.212 0.739
H 0.551 0.330 0.914
H 0.669 0.656 0.593
H 0.706 0.833 0.762
B 0.371 0.334 0.874
B 0.232 0.079 0.408
H 0.111 0.720 0.348
B 0.851 0.313 0.751
H 0.889 0.220 0.152
H 0.148 0.283 0.232
B 0.149 0.687 0.249
B 0.851 0.187 0.251
H 0.706 0.667 0.262
H 0.112 0.646 0.820
B 0.008 0.926 0.743
B 0.768 0.921 0.592
H 0.039 0.792 0.032
H 0.889 0.280 0.652
H 0.294 0.333 0.738
H 0.331 0.344 0.407
H 0.965 0.603 0.342
H 0.075 0.906 0.541
H 0.961 0.208 0.968
```

***

6.
VASP calculation (PBE) on crystalline B10H13I at its relaxed geometry. Values from VASP.

Summary:
- V: 11.273 A^3/atom
- Total energy: -4.77 eV per atom
- Space-group type: P2_1/c (14)
- Energy relative to the lowest polymorph listed for this composition: 0.044 eV/f.u.
- Crystal system: monoclinic
- Fermi-level density of states: 0.00 states/eV/f.u.

Geometry as Quantum ESPRESSO input:
```
&SYSTEM
  ibrav = 0, nat = 96, ntyp = 3
/
ATOMIC_SPECIES
B 10.81 B.upf
H 1.01 H.upf
I 126.90 I.upf
CELL_PARAMETERS angstrom
-9.498 7.193 -0.368
-1.408 -2.189 -6.453
-1.811 -13.814 5.082
ATOMIC_POSITIONS crystal
B 0.673 0.733 0.838
B 0.310 0.993 0.629
H 0.436 0.228 0.944
H 0.908 0.604 0.891
B 0.802 0.698 0.118
I 0.196 0.821 0.873
H 0.997 0.220 0.898
H 0.367 0.279 0.749
H 0.003 0.720 0.602
B 0.233 0.096 0.955
H 0.191 0.530 0.050
H 0.668 0.352 0.820
H 0.698 0.916 0.571
H 0.128 0.413 0.911
H 0.872 0.913 0.589
B 0.793 0.872 0.938
B 0.830 0.637 0.917
B 0.421 0.367 0.109
H 0.092 0.104 0.609
B 0.109 0.249 0.947
B 0.360 0.246 0.474
H 0.532 0.095 0.655
B 0.579 0.867 0.391
I 0.804 0.321 0.627
H 0.843 0.677 0.207
H 0.191 0.970 0.550
B 0.198 0.302 0.882
H 0.092 0.396 0.109
H 0.633 0.779 0.751
H 0.843 0.823 0.707
H 0.003 0.780 0.102
H 0.364 0.967 0.568
H 0.846 0.503 0.417
B 0.109 0.251 0.447
H 0.532 0.405 0.155
H 0.908 0.896 0.391
H 0.128 0.087 0.411
B 0.207 0.128 0.062
B 0.793 0.628 0.438
H 0.564 0.728 0.556
B 0.830 0.863 0.417
H 0.436 0.272 0.444
B 0.640 0.754 0.526
B 0.673 0.767 0.338
H 0.302 0.084 0.429
H 0.302 0.416 0.929
H 0.809 0.030 0.450
B 0.690 0.007 0.371
B 0.891 0.749 0.553
H 0.846 0.997 0.917
H 0.872 0.587 0.089
B 0.365 0.369 0.579
H 0.367 0.221 0.249
H 0.157 0.323 0.793
I 0.804 0.179 0.127
B 0.891 0.751 0.053
B 0.360 0.254 0.974
H 0.154 0.497 0.583
H 0.157 0.177 0.293
B 0.310 0.507 0.129
H 0.668 0.148 0.320
B 0.690 0.493 0.871
H 0.997 0.280 0.398
H 0.444 0.009 0.114
B 0.767 0.904 0.045
B 0.198 0.198 0.382
B 0.327 0.233 0.662
B 0.579 0.633 0.891
H 0.154 0.003 0.083
B 0.802 0.802 0.618
B 0.327 0.267 0.162
H 0.556 0.509 0.386
H 0.468 0.905 0.345
H 0.332 0.648 0.180
H 0.636 0.467 0.932
B 0.635 0.631 0.421
H 0.809 0.470 0.950
H 0.468 0.595 0.845
H 0.636 0.033 0.432
B 0.233 0.404 0.455
B 0.421 0.133 0.609
B 0.170 0.363 0.083
H 0.698 0.584 0.071
B 0.635 0.869 0.921
B 0.767 0.596 0.545
B 0.170 0.137 0.583
H 0.332 0.852 0.680
H 0.564 0.772 0.056
B 0.640 0.746 0.026
H 0.633 0.721 0.251
I 0.196 0.679 0.373
H 0.364 0.533 0.068
B 0.207 0.372 0.562
H 0.444 0.491 0.614
H 0.556 0.991 0.886
B 0.365 0.131 0.079
```